A plane-wave DFT calculation with PBE was carried out for crystalline TbHo6Rh2 at its relaxed geometry.

abc: 8.156 8.156 10.800
angles: 128.98 128.98 26.41
Element x y z (fractional)
Tb: 0.000 0.000 0.000
Ho: 0.020 0.020 0.688
Ho: 0.273 0.273 0.384
Ho: 0.306 0.306 0.946
Ho: 0.694 0.694 0.054
Ho: 0.727 0.727 0.616
Ho: 0.980 0.980 0.312
Rh: 0.402 0.402 0.729
Rh: 0.598 0.598 0.271

Summary:
For the calculated volume, the calculation gives 243.88 Å³ per cell.

***

A plane-wave DFT calculation with PBE was carried out for crystalline TbHo5Rh4 at its relaxed geometry.

abc: 9.205 9.205 9.205
angles: 153.42 133.46 54.40
Element x y z (fractional)
Tb: 0.000 0.000 0.000
Ho: 0.079 0.335 0.744
Ho: 0.409 0.665 0.744
Ho: 0.500 0.000 0.500
Ho: 0.591 0.335 0.256
Ho: 0.921 0.665 0.256
Rh: 0.199 0.199 0.000
Rh: 0.261 0.500 0.761
Rh: 0.739 0.500 0.239
Rh: 0.801 0.801 0.000

Summary:
For the calculated volume, the calculation gives 251.97 Å³ per cell.

***

A plane-wave DFT calculation with PBE was carried out for crystalline TbHoTh2Rh4 at its relaxed geometry.

abc: 6.952 5.735 6.831
angles: 66.51 49.17 64.32
Element x y z (fractional)
Tb: 0.000 0.000 0.000
Ho: 0.429 0.429 0.571
Th: 0.279 0.279 0.221
Th: 0.779 0.779 0.721
Rh: 0.299 0.768 0.232
Rh: 0.514 0.919 0.486
Rh: 0.768 0.299 0.701
Rh: 0.919 0.514 0.081

Summary:
For the calculated volume, the calculation gives 183.03 Å³ per cell.

***

Number 1: formation energy from the elements -3.716 eV per formula unit, E -5.61 eV/atom, density 9.221 Mg/m³. Number 2: formation energy from the elements -6.644 eV per formula unit, E -6.36 eV/atom, density 9.195 Mg/m³. Number 3: formation energy from the elements -6.288 eV per formula unit, E -7.47 eV/atom, density 10.883 Mg/m³.